Material: KNiIrF2
Method: DFT, PBE+U
State: relaxed

## Properties
For the total energy, the calculation gives -17.86 eV per cell. Its density is 5.92 Mg/m³. Its density of states at the Fermi level is 6.0 states/eV/cell. As for the size of the total moment: 0.800 μB per atom. Its space group is P4/mmm (123).

Cell lengths 4.2489, 4.2489, 5.0957 Å; angles 90.00, 90.00, 90.00 degrees
Sites, in units of the cell vectors:
K (0.0000, 0.0000, 0.0000)
Ni (0.5000, 0.5000, 0.5000)
Ir (0.5000, 0.5000, 0.0000)
F (0.0000, 0.5000, 0.5000)
F (0.5000, 0.0000, 0.5000)